Record 1
# TiZnSnP3O12 | Alexandria via LeMat-Bulk | PBEsol | relaxed
# crystal system	trigonal
# uncorrected formation energy	-2.138	eV/atom
# DOS(E_F)	0.28	states/eV per atom
data_TiZnSnP3O12
_chemical_formula_sum 'Ti6 Zn6 Sn6 P18 O72'
_space_group_name_H-M_alt 'R 3 c'
_space_group_IT_number 161
_space_group_name_Hall 'R 3 -2"c'
_cell_length_a 8.6941
_cell_length_b 8.6941
_cell_length_c 20.8212
_cell_angle_alpha 90.00
_cell_angle_beta 90.00
_cell_angle_gamma 120.00
loop_
_atom_site_label
_atom_site_type_symbol
_atom_site_fract_x
_atom_site_fract_y
_atom_site_fract_z
_atom_site_occupancy
Ti1 Ti 0.0000 0.0000 0.0000 1
Zn1 Zn 0.0000 0.0000 0.1409 1
Sn1 Sn 0.0000 0.0000 0.2886 1
P1 P 0.0361 0.3674 0.0613 1
O1 O 0.0074 0.1991 0.4536 1
O2 O 0.0154 0.1802 0.0683 1
O3 O 0.1299 0.4569 0.9985 1
O4 O 0.1652 0.4869 0.3860 1



Record 2
# TlSnPO2 | Alexandria via LeMat-Bulk | PBEsol | relaxed
# crystal system	tetragonal
# uncorrected formation energy	0.238	eV/atom
# DOS(E_F)	0.68	states/eV per atom
data_TlSnPO2
_chemical_formula_sum 'Tl1 Sn1 P1 O2'
_space_group_name_H-M_alt 'P 4/m m m'
_space_group_IT_number 123
_space_group_name_Hall '-P 4 2'
_cell_length_a 4.157
_cell_length_b 4.157
_cell_length_c 5.178
_cell_angle_alpha 90.00
_cell_angle_beta 90.00
_cell_angle_gamma 90.00
loop_
_atom_site_label
_atom_site_type_symbol
_atom_site_fract_x
_atom_site_fract_y
_atom_site_fract_z
_atom_site_occupancy
Tl1 Tl 0.000 0.000 0.000 1
Sn1 Sn 0.500 0.500 0.500 1
P1 P 0.000 0.000 0.500 1
O1 O 0.000 0.500 0.000 1



Copy entry 1 word for word.
# TiZnSnP3O12 | Alexandria via LeMat-Bulk | PBEsol | relaxed
# crystal system	trigonal
# uncorrected formation energy	-2.138	eV/atom
# DOS(E_F)	0.28	states/eV per atom
data_TiZnSnP3O12
_chemical_formula_sum 'Ti6 Zn6 Sn6 P18 O72'
_space_group_name_H-M_alt 'R 3 c'
_space_group_IT_number 161
_space_group_name_Hall 'R 3 -2"c'
_cell_length_a 8.6941
_cell_length_b 8.6941
_cell_length_c 20.8212
_cell_angle_alpha 90.00
_cell_angle_beta 90.00
_cell_angle_gamma 120.00
loop_
_atom_site_label
_atom_site_type_symbol
_atom_site_fract_x
_atom_site_fract_y
_atom_site_fract_z
_atom_site_occupancy
Ti1 Ti 0.0000 0.0000 0.0000 1
Zn1 Zn 0.0000 0.0000 0.1409 1
Sn1 Sn 0.0000 0.0000 0.2886 1
P1 P 0.0361 0.3674 0.0613 1
O1 O 0.0074 0.1991 0.4536 1
O2 O 0.0154 0.1802 0.0683 1
O3 O 0.1299 0.4569 0.9985 1
O4 O 0.1652 0.4869 0.3860 1



DOS(E_F) of number 1 (TiZnSnP3O12)?
0.28 states/eV per atom